Record 1
Below is an optimized crystal structure of LiAg2As, with properties calculated at the PBEsol level.

## Properties
The total energy is -3.599 eV/atom. Its calculated density is 7.60 g/cm3. The calculation puts the energy of formation at -175 meV/atom. Its density of states at the Fermi level is 1.09 states/eV/f.u.

The structure in CIF format:
```
data_LiAg2As
_chemical_formula_sum 'Li2 Ag4 As2'
_cell_length_a 9.2437
_cell_length_b 2.8984
_cell_length_c 4.8969
_cell_angle_alpha 90.00
_cell_angle_beta 97.39
_cell_angle_gamma 90.00
_symmetry_space_group_name_H-M 'C 1 2/m 1'
_symmetry_Int_Tables_number 12
_symmetry_space_group_name_Hall '-C 2y'
loop_
_atom_site_label
_atom_site_fract_x
_atom_site_fract_y
_atom_site_fract_z
Li1 0.0000 0.0000 0.0000
Ag1 0.2484 0.0000 0.7543
As1 0.0000 0.5000 0.5000
```

=====

Record 2
Below is an optimized crystal structure of LiCd2Ir, with properties calculated at the PBEsol level.

## Properties
The total energy is -3.517 eV/atom. Its calculated density is 10.56 g/cm3. The calculation puts the energy of formation at 29 meV/atom. Its density of states at the Fermi level is 2.57 states/eV/f.u.

The structure in CIF format:
```
data_LiCd2Ir
_chemical_formula_sum 'Li2 Cd4 Ir2'
_cell_length_a 9.2266
_cell_length_b 2.8028
_cell_length_c 5.1950
_cell_angle_alpha 90.00
_cell_angle_beta 97.03
_cell_angle_gamma 90.00
_symmetry_space_group_name_H-M 'C 1 2/m 1'
_symmetry_Int_Tables_number 12
_symmetry_space_group_name_Hall '-C 2y'
loop_
_atom_site_label
_atom_site_fract_x
_atom_site_fract_y
_atom_site_fract_z
Li1 0.0000 0.0000 0.0000
Cd1 0.2426 0.0000 0.7484
Ir1 0.0000 0.5000 0.5000
```

=====

Record 3
Below is an optimized crystal structure of Mn2IrOs, with properties calculated at the PBEsol level.

## Properties
The total energy is -10.402 eV/atom. Its calculated density is 16.46 g/cm3. The calculation puts the energy of formation at -11 meV/atom. Its excess energy over the best structure of this formula in the dataset is 52 meV per atom. Its density of states at the Fermi level is 4.24 states/eV/f.u.

The structure in CIF format:
```
data_Mn2IrOs
_chemical_formula_sum 'Mn4 Ir2 Os2'
_cell_length_a 5.2461
_cell_length_b 7.2304
_cell_length_c 2.6181
_cell_angle_alpha 90.00
_cell_angle_beta 90.00
_cell_angle_gamma 90.00
_symmetry_space_group_name_H-M 'C m m m'
_symmetry_Int_Tables_number 65
_symmetry_space_group_name_Hall '-C 2 2'
loop_
_atom_site_label
_atom_site_fract_x
_atom_site_fract_y
_atom_site_fract_z
Mn1 0.2500 0.2500 0.0000
Ir1 0.0000 0.0000 0.5000
Os1 0.0000 0.5000 0.5000
```

=====

Record 4
Below is an optimized crystal structure of LaPt2Br, with properties calculated at the PBEsol level.

## Properties
The total energy is -5.882 eV/atom. Its calculated density is 11.68 g/cm3. The uncorrected formation energy is -0.596 eV per atom. Its excess energy over the best structure of this formula in the dataset is 0 meV per atom. Its density of states at the Fermi level is 0.73 states/eV/f.u.

The structure in CIF format:
```
data_LaPt2Br
_chemical_formula_sum 'La2 Pt4 Br2'
_cell_length_a 4.3737
_cell_length_b 5.3324
_cell_length_c 7.4228
_cell_angle_alpha 90.00
_cell_angle_beta 90.00
_cell_angle_gamma 90.00
_symmetry_space_group_name_H-M 'I m m 2'
_symmetry_Int_Tables_number 44
_symmetry_space_group_name_Hall 'I 2 -2'
loop_
_atom_site_label
_atom_site_fract_x
_atom_site_fract_y
_atom_site_fract_z
La1 0.0000 0.0000 0.0000
Pt1 0.0000 0.0000 0.5319
Pt2 0.0000 0.5000 0.2155
Br1 0.0000 0.5000 0.8031
```

=====

Record 5
Below is an optimized crystal structure of AsC2I, with properties calculated at the PBEsol level.

## Properties
The total energy is -4.743 eV/atom. Its calculated density is 6.09 g/cm3. The uncorrected formation energy is 1.797 eV per atom. Its density of states at the Fermi level is 0.66 states/eV/f.u.

The structure in CIF format:
```
data_AsC2I
_chemical_formula_sum 'As4 C8 I4'
_cell_length_a 5.5685
_cell_length_b 5.5685
_cell_length_c 7.9385
_cell_angle_alpha 90.00
_cell_angle_beta 90.00
_cell_angle_gamma 90.00
_symmetry_space_group_name_H-M 'I -4 2 d'
_symmetry_Int_Tables_number 122
_symmetry_space_group_name_Hall 'I -4 2bw'
loop_
_atom_site_label
_atom_site_fract_x
_atom_site_fract_y
_atom_site_fract_z
As1 0.0000 0.0000 0.0000
C1 0.1697 0.2500 0.1250
I1 0.0000 0.0000 0.5000
```

=====

Record 6
Below is an optimized crystal structure of NaSc2TaMn, with properties calculated at the PBEsol level.

## Properties
The total energy is -5.947 eV/atom. Its calculated density is 4.34 g/cm3. The calculation puts the energy of formation at 1438 meV/atom. Its density of states at the Fermi level is 4.83 states/eV/f.u.

The structure in CIF format:
```
data_NaSc2TaMn
_chemical_formula_sum 'Na1 Sc2 Ta1 Mn1'
_cell_length_a 4.9734
_cell_length_b 4.9734
_cell_length_c 5.3929
_cell_angle_alpha 90.00
_cell_angle_beta 90.00
_cell_angle_gamma 90.00
_symmetry_space_group_name_H-M 'P 4/m m m'
_symmetry_Int_Tables_number 123
_symmetry_space_group_name_Hall '-P 4 2'
loop_
_atom_site_label
_atom_site_fract_x
_atom_site_fract_y
_atom_site_fract_z
Na1 0.0000 0.0000 0.0000
Sc1 0.0000 0.5000 0.5000
Ta1 0.0000 0.0000 0.5000
Mn1 0.5000 0.5000 0.0000
```

=====

Short version: size of the total moment = 0.00; 0.30; 1.86; 0.00; 0.00; 4.50 μB/f.u., in the order given.